1.
DFT (PBE-GGA) results for Y8Ge3AsS4 after structural relaxation.

Geometry as extended XYZ:
```
16
Lattice="-7.865 2.010 -0.100 -0.137 -0.936 -8.042 2.583 -6.049 4.757" Properties=species:S:1:pos:R:3 pbc="T T T"
Y 0.507 -6.229 -1.291
Y -0.777 -3.223 -3.656
Y -0.710 -2.760 0.339
Y -3.402 -5.230 -1.341
Y -2.016 0.256 -2.044
Y -4.708 -2.215 -3.724
Y -4.641 -1.752 0.271
Y -5.925 1.255 -2.093
Ge -4.001 0.537 -4.071
Ge -2.709 -2.487 -1.692
Ge 1.223 -3.492 -1.642
As -0.068 -0.468 -4.021
S -3.932 1.005 -0.050
S -2.641 -2.020 2.328
S 0.000 0.000 0.000
S 1.292 -3.025 2.379
```

Output
calculated volume	376.81	Å³/f.u.
total DFT energy (no corrections)	-6.9901	eV/atom
theoretical density	4.99	Mg/m³


2.
DFT (PBE-GGA) results for Y6Ge3AsS2 after structural relaxation.

Geometry as extended XYZ:
```
12
Lattice="4.053 0.000 0.000 0.000 8.232 0.149 -2.026 -2.523 8.604" Properties=species:S:1:pos:R:3 pbc="T T T"
Y 0.000 5.861 5.870
Y 2.026 3.941 2.974
Y 2.026 -0.152 2.883
Y 0.000 2.042 0.071
Y 2.026 3.667 8.682
Y 0.000 1.768 5.779
Ge 2.026 4.116 0.075
Ge 2.026 -0.287 5.760
Ge 0.000 5.996 2.993
As 2.026 0.000 0.000
S 2.026 3.800 5.813
S 0.000 1.909 2.940
```

Output
calculated volume	288.57	Å³/f.u.
total DFT energy (no corrections)	-6.8235	eV/atom
theoretical density	5.12	Mg/m³


3.
DFT (PBE-GGA) results for Y8GeAs4S3 after structural relaxation.

Geometry as extended XYZ:
```
16
Lattice="-2.002 1.155 7.792 7.371 -2.524 2.268 -0.756 6.085 -5.335" Properties=species:S:1:pos:R:3 pbc="T T T"
Y 4.261 4.480 -1.698
Y 4.640 1.425 0.981
Y 0.954 2.697 -0.155
Y 3.256 5.060 2.215
Y 1.357 -0.344 2.510
Y 3.659 2.018 4.880
Y -0.027 3.290 3.744
Y 0.352 0.236 6.422
Ge 3.685 -1.262 1.134
As -1.001 0.578 3.896
As -1.379 3.620 1.229
As 0.000 0.000 0.000
As -0.378 3.042 -2.667
S 2.685 -0.685 5.030
S 2.306 2.358 2.362
S 3.307 1.780 -1.534
```

Output
calculated volume	378.68	Å³/f.u.
total DFT energy (no corrections)	-7.1394	eV/atom
theoretical density	5.17	Mg/m³


4.
DFT (PBE-GGA) results for Y6Ge2AsS3 after structural relaxation.

Geometry as extended XYZ:
```
12
Lattice="4.057 0.000 0.000 0.000 8.085 0.318 -2.029 -2.304 8.505" Properties=species:S:1:pos:R:3 pbc="T T T"
Y 0.000 5.855 5.955
Y 2.029 3.939 3.021
Y 2.029 -0.074 2.867
Y 0.000 2.020 0.109
Y 2.029 3.760 8.713
Y 0.000 1.841 5.801
Ge 2.029 3.858 5.882
Ge 0.000 1.923 2.940
As 2.029 0.000 0.000
S 2.029 4.042 0.159
S 2.029 -0.200 5.745
S 0.000 5.980 3.077
```

Output
calculated volume	281.92	Å³/f.u.
total DFT energy (no corrections)	-7.0202	eV/atom
theoretical density	5.01	Mg/m³


5.
DFT (PBE-GGA) results for Y6GeAs2S3 after structural relaxation.

Geometry as extended XYZ:
```
12
Lattice="-0.137 -4.039 0.287 1.983 -0.620 -7.787 7.889 2.040 3.877" Properties=species:S:1:pos:R:3 pbc="T T T"
Y 7.057 -0.555 -4.460
Y 3.693 -2.374 -3.061
Y 2.679 -2.063 0.837
Y 8.234 -2.152 2.233
Y 1.501 -0.467 -5.856
Y 6.042 -0.244 -0.562
Ge -0.068 -2.019 0.143
As 6.459 -2.418 -2.364
As 3.277 -0.200 -1.259
S 0.923 -2.329 -3.750
S 5.459 -2.109 1.511
S 4.276 -0.509 -5.134
```

Output
calculated volume	279.87	Å³/f.u.
total DFT energy (no corrections)	-7.1303	eV/atom
theoretical density	5.06	Mg/m³


6.
DFT (PBE-GGA) results for Ge2SbAs2 after structural relaxation.

Geometry as extended XYZ:
```
10
Lattice="7.869 0.000 0.000 0.000 7.869 0.000 0.000 0.000 3.481" Properties=species:S:1:pos:R:3 pbc="T T T"
Sb 0.000 0.000 0.000
Sb 3.935 3.935 0.000
As 2.674 6.609 0.000
As 6.609 5.195 0.000
As 5.195 1.261 0.000
As 1.261 2.674 0.000
Ge 1.098 5.032 1.741
Ge 5.032 6.772 1.741
Ge 6.772 2.837 1.741
Ge 2.837 1.098 1.741
```

Output
calculated volume	107.79	Å³/f.u.
total DFT energy (no corrections)	-4.2443	eV/atom
theoretical density	6.42	Mg/m³
excess energy over the best structure of this formula in the dataset	0.0	meV per atom


7.
DFT (PBE-GGA) results for Ge2SbAs after structural relaxation.

Geometry as extended XYZ:
```
4
Lattice="1.988 -0.089 4.508 -2.849 -0.833 3.933 0.365 -4.260 2.448" Properties=species:S:1:pos:R:3 pbc="T T T"
Sb -0.248 -2.591 5.445
As 0.000 0.000 0.000
Ge -0.124 -1.296 2.722
Ge -0.372 -3.887 8.167
```

Output
calculated volume	84.59	Å³/f.u.
total DFT energy (no corrections)	-4.1634	eV/atom
theoretical density	6.71	Mg/m³
excess energy over the best structure of this formula in the dataset	111.4	meV per atom


8.
DFT (PBE-GGA) results for Ge2SbAs after structural relaxation.

Geometry as extended XYZ:
```
4
Lattice="-3.488 1.370 -1.855 -2.160 -2.537 -2.526 -6.117 -2.881 4.662" Properties=species:S:1:pos:R:3 pbc="T T T"
Sb -5.882 -2.024 0.140
As 0.000 0.000 0.000
Ge -4.821 -2.118 2.789
Ge -6.944 -1.929 -2.508
```

Output
calculated volume	118.87	Å³/f.u.
total DFT energy (no corrections)	-3.9903	eV/atom
theoretical density	4.78	Mg/m³
excess energy over the best structure of this formula in the dataset	284.5	meV per atom